Density functional theory data (meta-GGA SCAN) for a PBEsol-optimized structure of AlCu3Hg.

Cell: 4.7290 4.7290 4.7290 Å, 90.00 90.00 90.00°
Atoms (fractional coordinates):
Al1 0.0000 0.0000 0.0000
Cu1 0.0000 0.5000 0.5000
Cu2 0.5000 0.0000 0.5000
Cu3 0.5000 0.5000 0.0000
Hg1 0.5000 0.5000 0.5000

Computed properties:
- SG: Pm-3m, No. 221
- Theoretical density: 6.567 g/cm3
- E_form: 1.02 eV/atom
- DFT total energy: -23.28 eV/atom

---

Density functional theory data (meta-GGA SCAN) for a PBEsol-optimized structure of LaAlSi3.

Cell: 5.4311 5.4311 5.4311 Å, 90.00 90.00 90.00°
Atoms (fractional coordinates):
La1 0.0000 0.0000 0.0000
Al1 0.5000 0.5000 0.5000
Si1 0.0000 0.0000 0.5000
Si2 0.0000 0.5000 0.0000
Si3 0.5000 0.0000 0.0000

Computed properties:
- Uncorrected formation energy: 1585 meV/atom
- SG: Pm-3m, No. 221
- Theoretical density: 2.593 g/cm3
- DFT total energy: -14.60 eV/atom

---

Density functional theory data (meta-GGA SCAN) for a PBEsol-optimized structure of LaTe3P.

Cell: 6.0674 6.0674 6.0674 Å, 90.00 90.00 90.00°
Atoms (fractional coordinates):
La1 0.0000 0.0000 0.0000
Te1 0.0000 0.0000 0.5000
Te2 0.0000 0.5000 0.0000
Te3 0.5000 0.0000 0.0000
P1 0.5000 0.5000 0.5000

Computed properties:
- Uncorrected formation energy: 377 meV/atom
- SG: Pm-3m, No. 221
- Theoretical density: 4.109 g/cm3
- DFT total energy: -32.67 eV/atom

---

Density functional theory data (meta-GGA SCAN) for a PBEsol-optimized structure of Y2TlSe.

Cell: 3.9452 4.4363 5.9557 Å, 90.00 90.00 90.00°
Atoms (fractional coordinates):
Y1 0.0000 0.0000 0.0000
Y2 0.5000 0.5000 0.5000
Tl1 0.0000 0.0000 0.5000
Se1 0.5000 0.5000 0.0000

Computed properties:
- Uncorrected formation energy: -1278 meV/atom
- Distance to the lowest polymorph of the same formula: 27 meV/atom
- SG: Pmmm, No. 47
- Theoretical density: 7.346 g/cm3
- DFT total energy: -38.31 eV/atom

---

Density functional theory data (meta-GGA SCAN) for a PBEsol-optimized structure of CaH2Au2.

Cell: 6.1828 6.1828 3.7696 Å, 90.00 90.00 90.00°
Atoms (fractional coordinates):
Ca1 0.0000 0.0000 0.0000
Ca2 0.5000 0.5000 0.0000
H1 0.1555 0.3445 0.0000
H2 0.3445 0.8445 0.0000
H3 0.6555 0.1555 0.0000
H4 0.8445 0.6555 0.0000
Au1 0.1578 0.3422 0.5000
Au2 0.3422 0.8422 0.5000
Au3 0.6578 0.1578 0.5000
Au4 0.8422 0.6578 0.5000

Computed properties:
- SG: P4/mbm, No. 127
- Theoretical density: 10.049 g/cm3
- DFT total energy: -31.36 eV/atom

---

Density functional theory data (meta-GGA SCAN) for a PBEsol-optimized structure of Ni3SbW.

Cell: 4.4923 4.4923 4.4923 Å, 90.00 90.00 90.00°
Atoms (fractional coordinates):
Ni1 0.0000 0.0000 0.5000
Ni2 0.0000 0.5000 0.0000
Ni3 0.5000 0.0000 0.0000
Sb1 0.5000 0.5000 0.5000
W1 0.0000 0.0000 0.0000

Computed properties:
- Uncorrected formation energy: 1349 meV/atom
- SG: Pm-3m, No. 221
- Theoretical density: 8.823 g/cm3
- DFT total energy: -29.74 eV/atom